Here is a geometry-optimized CrHSe2 structure from the Alexandria database. Energies are from PBE-GGA.

a b c (Å): 11.230 5.518 7.147
angles (deg): 90.00 142.84 90.00
Element x y z (fractional)
Cr1 0.164 0.109 0.164
Cr2 0.836 0.891 0.836
Cr3 0.336 0.609 0.336
Cr4 0.664 0.391 0.664
Se1 0.837 0.219 0.608
Se2 0.163 0.781 0.392
Se3 0.663 0.719 0.892
Se4 0.337 0.281 0.108
Se5 0.043 0.781 0.814
Se6 0.957 0.219 0.186
Se7 0.457 0.281 0.686
Se8 0.543 0.719 0.314
H1 0.635 0.071 0.635
H2 0.365 0.929 0.365
H3 0.865 0.571 0.865
H4 0.135 0.429 0.135

Summary:
ΔE to the lowest computed polymorph in eV/atom: 0.068

=====

Here is a geometry-optimized Pm3Cd7Sn2 structure from the Alexandria database. Energies are from PBE-GGA.

a b c (Å): 6.057 6.057 10.286
angles (deg): 72.88 72.88 60.00
Each line ends with the local moment (μB).
Element x y z (fractional)
Pm1 0.000 0.000 0.000  0.13
Pm2 0.858 0.858 0.427  0.07
Pm3 0.142 0.142 0.573  0.07
Cd1 0.500 0.500 0.500  0.01
Cd2 0.922 0.409 0.261  0.00
Cd3 0.409 0.922 0.261  0.00
Cd4 0.409 0.409 0.261  0.00
Cd5 0.078 0.591 0.739  0.00
Cd6 0.591 0.591 0.739  0.00
Cd7 0.591 0.078 0.739  0.00
Sn1 0.664 0.664 0.007  0.01
Sn2 0.336 0.336 0.993  0.01

Summary:
Energy relative to the elements in kcal/mol of atoms: -5.8

=====

Here is a geometry-optimized NaPr3Hg4 structure from the Alexandria database. Energies are from PBE-GGA.

a b c (Å): 5.374 5.374 9.453
angles (deg): 73.48 73.48 60.00
Element x y z (fractional)
Pr1 0.255 0.255 0.236
Pr2 0.745 0.745 0.764
Pr3 0.500 0.500 0.500
Na1 0.000 0.000 0.000
Hg1 0.875 0.875 0.374
Hg2 0.375 0.375 0.875
Hg3 0.125 0.125 0.626
Hg4 0.625 0.625 0.125

Summary:
Energy relative to the elements in kcal/mol of atoms: -9.7

=====

no.,spin magnetization (μB/cell),D(E_F) (states/eV/cell)
1,0.0,0.0
2,0.7,9.8
3,0.0,8.1